{
  "formula": "NaIr2I",
  "functional": "PBE",
  "state": "optimized geometry",
  "cell": [[7.9830, 0.0000, 0.0000], [0.0000, 7.9830, 0.0000], [3.9915, 3.9915, 2.6578]],
  "species": ["Ir", "Ir", "Ir", "Ir", "I", "I", "Na", "Na"],
  "fractional_positions": [[0.6700, 0.1250, 0.2500], [0.8750, 0.9200, 0.7500], [0.3750, 0.3300, 0.7500], [0.0800, 0.6250, 0.2500], [0.0000, 0.0000, 0.0000], [0.7500, 0.2500, 0.5000], [0.2500, 0.7500, 0.5000], [0.5000, 0.5000, 0.0000]],
  "e_form_raw_ev_per_atom": 0.983,
  "final_energy_ev_per_cell": -33.3,
  "volume_a3_per_fu": 85,
  "sg": "I-42d"
}